Run P
{"formula": "Y12Ho5Er2", "functional": "GGA-PBE", "state": "relaxed", "lattice": [[7.768, -4.642, 0.000], [7.768, 4.642, 0.000], [-0.219, 0.000, 8.569]], "species": ["Y", "Y", "Y", "Y", "Y", "Y", "Y", "Y", "Y", "Y", "Y", "Y", "Ho", "Ho", "Ho", "Ho", "Ho", "Er", "Er"], "fractional_positions": [[0.058, 0.058, 0.333], [0.064, 0.679, 0.335], [0.168, 0.529, 0.762], [0.321, 0.936, 0.665], [0.418, 0.418, 0.123], [0.471, 0.832, 0.238], [0.529, 0.168, 0.762], [0.582, 0.582, 0.877], [0.679, 0.064, 0.335], [0.832, 0.471, 0.238], [0.936, 0.321, 0.665], [0.942, 0.942, 0.667], [0.201, 0.201, 0.017], [0.269, 0.269, 0.428], [0.500, 0.500, 0.500], [0.731, 0.731, 0.572], [0.799, 0.799, 0.983], [0.173, 0.827, 0.000], [0.827, 0.173, 0.000]], "spacegroup": "C2/m"}

---

Run Q
{"formula": "Y12Ho5Er2", "functional": "GGA-PBE", "state": "relaxed", "lattice": [[6.154, 0.000, 0.000], [0.001, 9.382, 0.000], [1.032, 2.043, 10.417]], "species": ["Y", "Y", "Y", "Y", "Y", "Y", "Y", "Y", "Y", "Y", "Y", "Y", "Ho", "Ho", "Ho", "Ho", "Ho", "Er", "Er"], "fractional_positions": [[0.027, 0.105, 0.342], [0.132, 0.526, 0.711], [0.185, 0.737, 0.395], [0.289, 0.157, 0.764], [0.394, 0.579, 0.131], [0.449, 0.790, 0.816], [0.551, 0.210, 0.184], [0.606, 0.421, 0.869], [0.711, 0.843, 0.236], [0.815, 0.263, 0.605], [0.868, 0.474, 0.289], [0.973, 0.895, 0.658], [0.078, 0.315, 0.026], [0.343, 0.368, 0.448], [0.500, 0.000, 0.500], [0.657, 0.632, 0.552], [0.922, 0.685, 0.974], [0.236, 0.948, 0.078], [0.764, 0.052, 0.922]], "spacegroup": "P-1"}

---

In terms of stability, run Q leads; the second structure lies 0.102 eV/atom higher.

---

Run P
{"formula": "Y2Ho3Er6", "functional": "GGA-PBE", "state": "relaxed", "lattice": [[-2.339, 2.339, 16.558], [2.339, -2.339, 16.558], [2.339, 2.339, -16.558]], "species": ["Y", "Y", "Ho", "Ho", "Ho", "Er", "Er", "Er", "Er", "Er", "Er"], "fractional_positions": [[0.046, 0.046, 0.000], [0.954, 0.954, 0.000], [0.299, 0.299, 0.000], [0.500, 0.500, 0.000], [0.701, 0.701, 0.000], [0.123, 0.623, 0.500], [0.196, 0.196, 0.000], [0.377, 0.877, 0.500], [0.623, 0.123, 0.500], [0.804, 0.804, 0.000], [0.877, 0.377, 0.500]], "spacegroup": "I4/mmm"}

---

Run Q
{"formula": "Y2Ho3Er6", "functional": "GGA-PBE", "state": "relaxed", "lattice": [[2.791, 1.611, 12.753], [-2.791, 1.611, 12.753], [0.000, -3.222, 12.753]], "species": ["Y", "Y", "Ho", "Ho", "Ho", "Er", "Er", "Er", "Er", "Er", "Er"], "fractional_positions": [[0.046, 0.046, 0.046], [0.954, 0.954, 0.954], [0.235, 0.235, 0.235], [0.500, 0.500, 0.500], [0.765, 0.765, 0.765], [0.139, 0.139, 0.139], [0.329, 0.329, 0.329], [0.417, 0.417, 0.417], [0.583, 0.583, 0.583], [0.671, 0.671, 0.671], [0.861, 0.861, 0.861]], "spacegroup": "R-3m"}

---

In terms of stability, run Q leads; the second structure lies 0.168 eV/atom higher.

---

Run P
{"formula": "Y6Ho12Er", "functional": "GGA-PBE", "state": "relaxed", "lattice": [[6.127, 3.537, 4.723], [-6.127, 3.537, 4.723], [0.000, -7.075, 4.723]], "species": ["Y", "Y", "Y", "Y", "Y", "Y", "Ho", "Ho", "Ho", "Ho", "Ho", "Ho", "Ho", "Ho", "Ho", "Ho", "Ho", "Ho", "Er"], "fractional_positions": [[0.225, 0.379, 0.764], [0.236, 0.775, 0.621], [0.379, 0.764, 0.225], [0.621, 0.236, 0.775], [0.764, 0.225, 0.379], [0.775, 0.621, 0.236], [0.027, 0.966, 0.290], [0.034, 0.710, 0.973], [0.126, 0.444, 0.352], [0.290, 0.027, 0.966], [0.352, 0.126, 0.444], [0.444, 0.352, 0.126], [0.556, 0.648, 0.874], [0.648, 0.874, 0.556], [0.710, 0.973, 0.034], [0.874, 0.556, 0.648], [0.966, 0.290, 0.027], [0.973, 0.034, 0.710], [0.500, 0.500, 0.500]], "spacegroup": "R-3"}

---

Run Q
{"formula": "Y6Ho12Er", "functional": "GGA-PBE", "state": "relaxed", "lattice": [[6.550, 3.782, 4.196], [-6.550, 3.782, 4.196], [0.000, -7.564, 4.196]], "species": ["Y", "Y", "Y", "Y", "Y", "Y", "Ho", "Ho", "Ho", "Ho", "Ho", "Ho", "Ho", "Ho", "Ho", "Ho", "Ho", "Ho", "Er"], "fractional_positions": [[0.159, 0.600, 0.600], [0.400, 0.400, 0.841], [0.400, 0.841, 0.400], [0.600, 0.159, 0.600], [0.600, 0.600, 0.159], [0.841, 0.400, 0.400], [0.000, 0.257, 0.743], [0.000, 0.743, 0.257], [0.145, 0.145, 0.418], [0.145, 0.418, 0.145], [0.257, 0.000, 0.743], [0.257, 0.743, 0.000], [0.418, 0.145, 0.145], [0.582, 0.855, 0.855], [0.743, 0.000, 0.257], [0.743, 0.257, 0.000], [0.855, 0.582, 0.855], [0.855, 0.855, 0.582], [0.500, 0.500, 0.500]], "spacegroup": "R-3m"}

---

In terms of stability, run P leads; the second structure lies 0.038 eV/atom higher.

---

Run P
{"formula": "Y2Ho5Er3", "functional": "GGA-PBE", "state": "relaxed", "lattice": [[-5.589, 8.732, 3.316], [5.589, -8.732, 3.316], [5.589, 8.732, -3.316]], "species": ["Y", "Y", "Y", "Y", "Ho", "Ho", "Ho", "Ho", "Ho", "Ho", "Ho", "Ho", "Ho", "Ho", "Er", "Er", "Er", "Er", "Er", "Er"], "fractional_positions": [[0.028, 0.234, 0.262], [0.472, 0.734, 0.206], [0.528, 0.266, 0.794], [0.972, 0.766, 0.738], [0.068, 0.250, 0.818], [0.169, 0.405, 0.574], [0.250, 0.750, 0.500], [0.331, 0.905, 0.236], [0.432, 0.250, 0.182], [0.568, 0.750, 0.818], [0.669, 0.095, 0.764], [0.750, 0.250, 0.500], [0.831, 0.595, 0.426], [0.932, 0.750, 0.182], [0.173, 0.712, 0.885], [0.250, 0.250, 0.000], [0.327, 0.212, 0.539], [0.673, 0.788, 0.461], [0.750, 0.750, 0.000], [0.827, 0.288, 0.115]], "spacegroup": "Ibam"}

---

Run Q
{"formula": "Y2Ho5Er3", "functional": "GGA-PBE", "state": "relaxed", "lattice": [[5.298, -7.752, 0.000], [5.298, 7.752, 0.000], [-5.294, 0.000, 7.864]], "species": ["Y", "Y", "Y", "Y", "Ho", "Ho", "Ho", "Ho", "Ho", "Ho", "Ho", "Ho", "Ho", "Ho", "Er", "Er", "Er", "Er", "Er", "Er"], "fractional_positions": [[0.015, 0.267, 0.046], [0.267, 0.015, 0.546], [0.733, 0.985, 0.454], [0.985, 0.733, 0.954], [0.146, 0.386, 0.779], [0.231, 0.769, 0.750], [0.275, 0.725, 0.250], [0.386, 0.146, 0.279], [0.473, 0.527, 0.250], [0.527, 0.473, 0.750], [0.614, 0.854, 0.721], [0.725, 0.275, 0.750], [0.769, 0.231, 0.250], [0.854, 0.614, 0.221], [0.024, 0.976, 0.750], [0.222, 0.465, 0.451], [0.465, 0.222, 0.951], [0.535, 0.778, 0.049], [0.778, 0.535, 0.549], [0.976, 0.024, 0.250]], "spacegroup": "C2/c"}

---

In terms of stability, run Q leads; the second structure lies 0.075 eV/atom higher.